Compound: Li4MnCo3O8
Source: Alexandria
Functional: PBE with a Hubbard U
Structure: optimized geometry Values from VASP.

The structure in Quantum ESPRESSO input format:
```
&SYSTEM
  ibrav = 0, nat = 16, ntyp = 4
/
ATOMIC_SPECIES
Li 6.94 Li.upf
Mn 54.94 Mn.upf
Co 58.93 Co.upf
O 16.00 O.upf
ATOMIC_POSITIONS crystal
Li 0.248 0.248 0.113
Li 0.249 0.249 0.633
Li 0.751 0.751 0.367
Li 0.752 0.752 0.887
Mn 0.500 0.500 0.500
Co 0.000 0.000 0.245
Co 0.000 0.000 0.755
Co 0.500 0.500 0.000
O 0.111 0.111 0.943
O 0.114 0.114 0.446
O 0.388 0.388 0.824
O 0.389 0.389 0.323
O 0.611 0.611 0.677
O 0.612 0.612 0.176
O 0.886 0.886 0.554
O 0.889 0.889 0.057
CELL_PARAMETERS angstrom
4.854 -1.443 0.000
4.854 1.443 0.000
-1.676 0.000 10.145
```

Calculated values
- distance to the lowest polymorph of the same formula (meV/atom) = 29.5
- space-group type = C2/m, No. 12
- mass density (kg/m³) = 4528
- Fermi-level density of states (states/eV per cell) = 6.07